{"formula": "MnCuF3", "functional": "GGA+U", "state": "optimized geometry", "relative_energy_kj_per_mol_atoms": 0.00, "total_energy_ev_per_atom": -5.1279, "lattice_angstrom": [[4.136, 0.000, 0.000], [0.000, 4.136, 0.000], [0.000, 0.000, 4.136]], "species": ["F", "F", "F", "Cu", "Mn"], "fractional_positions": [[0.000, 0.500, 0.000], [0.000, 0.000, 0.500], [0.500, 0.000, 0.000], [0.500, 0.500, 0.500], [0.000, 0.000, 0.000]]}